Entry 1:
# MnH2Os2 PBE-GGA relaxed
# * energy: -36.43 eV/cell
# * calculated density: 15.83 g cm⁻³
# * Fermi-level density of states: 4.7 states/eV per cell
data_MnH2Os2
_cell_length_a 2.804
_cell_length_b 2.804
_cell_length_c 6.163
_cell_angle_alpha 76.85
_cell_angle_beta 76.85
_cell_angle_gamma 90.00
_symmetry_space_group_name_H-M 'P 1'
_symmetry_Int_Tables_number 1
loop_
_symmetry_equiv_pos_as_xyz
'x,y,z'
loop_
_atom_site_label
_atom_site_type_symbol
_atom_site_fract_x
_atom_site_fract_y
_atom_site_fract_z
Mn1 Mn 0.000 0.000 0.000
Os1 Os 0.359 0.359 0.281
Os2 Os 0.641 0.641 0.719
H1 H 0.250 0.750 0.500
H2 H 0.750 0.250 0.500



Entry 2:
# Pb2Se PBE-GGA relaxed
# * energy: -23.03 eV/cell
# * E above lowest polymorph: 0.034 eV/atom
# * calculated density: 9.17 g cm⁻³
# * E_form (uncorrected): -0.205 eV per atom
# * Fermi-level density of states: 2.7 states/eV per cell
data_Pb2Se
_cell_length_a 6.206
_cell_length_b 6.206
_cell_length_c 7.939
_cell_angle_alpha 75.68
_cell_angle_beta 75.68
_cell_angle_gamma 37.25
_symmetry_space_group_name_H-M 'P 1'
_symmetry_Int_Tables_number 1
loop_
_symmetry_equiv_pos_as_xyz
'x,y,z'
loop_
_atom_site_label
_atom_site_type_symbol
_atom_site_fract_x
_atom_site_fract_y
_atom_site_fract_z
Pb1 Pb 0.660 0.660 0.575
Pb2 Pb 0.063 0.063 0.980
Pb3 Pb 0.361 0.361 0.278
Pb4 Pb 0.361 0.361 0.778
Se1 Se 0.738 0.738 0.072
Se2 Se 0.984 0.984 0.484



Entry 3:
# Th2ZnCu12Ni3 PBE-GGA relaxed
# * energy: -82.51 eV/cell
# * calculated density: 9.38 g cm⁻³
# * ΔH_f (0 K): 0.006 eV/atom
# * Fermi-level density of states: 5.0 states/eV per cell
data_Th2ZnCu12Ni3
_cell_length_a 6.435
_cell_length_b 6.435
_cell_length_c 6.435
_cell_angle_alpha 82.25
_cell_angle_beta 82.25
_cell_angle_gamma 82.25
_symmetry_space_group_name_H-M 'P 1'
_symmetry_Int_Tables_number 1
loop_
_symmetry_equiv_pos_as_xyz
'x,y,z'
loop_
_atom_site_label
_atom_site_type_symbol
_atom_site_fract_x
_atom_site_fract_y
_atom_site_fract_z
Ni1 Ni 0.000 0.500 0.000
Ni2 Ni 0.500 0.000 0.000
Ni3 Ni 0.000 0.000 0.500
Cu1 Cu 0.274 0.801 0.801
Cu2 Cu 0.572 0.572 0.161
Cu3 Cu 0.199 0.199 0.726
Cu4 Cu 0.199 0.726 0.199
Cu5 Cu 0.572 0.161 0.572
Cu6 Cu 0.726 0.199 0.199
Cu7 Cu 0.428 0.428 0.839
Cu8 Cu 0.801 0.274 0.801
Cu9 Cu 0.428 0.839 0.428
Cu10 Cu 0.801 0.801 0.274
Cu11 Cu 0.161 0.572 0.572
Cu12 Cu 0.839 0.428 0.428
Th1 Th 0.249 0.249 0.249
Th2 Th 0.751 0.751 0.751
Zn1 Zn 0.000 0.000 0.000



Entry 4:
# ZnOsRu2 PBE-GGA relaxed
# * energy: -56.01 eV/cell
# * calculated density: 11.68 g cm⁻³
# * ΔH_f (0 K): 0.762 eV/atom
# * Fermi-level density of states: 10.2 states/eV per cell
data_ZnOsRu2
_cell_length_a 7.067
_cell_length_b 7.067
_cell_length_c 5.637
_cell_angle_alpha 51.18
_cell_angle_beta 51.18
_cell_angle_gamma 90.00
_symmetry_space_group_name_H-M 'P 1'
_symmetry_Int_Tables_number 1
loop_
_symmetry_equiv_pos_as_xyz
'x,y,z'
loop_
_atom_site_label
_atom_site_type_symbol
_atom_site_fract_x
_atom_site_fract_y
_atom_site_fract_z
Zn1 Zn 0.250 0.750 0.500
Zn2 Zn 0.500 0.500 0.000
Ru1 Ru 0.088 0.625 0.250
Ru2 Ru 0.875 0.912 0.750
Ru3 Ru 0.662 0.125 0.250
Ru4 Ru 0.375 0.338 0.750
Os1 Os 0.000 0.000 0.000
Os2 Os 0.750 0.250 0.500



Entry 5:
# Y3CrRe PBE-GGA relaxed
# * energy: -38.28 eV/cell
# * E above lowest polymorph: 0.000 eV/atom
# * calculated density: 5.36 g cm⁻³
# * ΔH_f (0 K): 0.637 eV/atom
# * Fermi-level density of states: 4.5 states/eV per cell
data_Y3CrRe
_cell_length_a 5.387
_cell_length_b 5.387
_cell_length_c 5.387
_cell_angle_alpha 90.00
_cell_angle_beta 90.00
_cell_angle_gamma 90.00
_symmetry_space_group_name_H-M 'P 1'
_symmetry_Int_Tables_number 1
loop_
_symmetry_equiv_pos_as_xyz
'x,y,z'
loop_
_atom_site_label
_atom_site_type_symbol
_atom_site_fract_x
_atom_site_fract_y
_atom_site_fract_z
Cr1 Cr 0.500 0.500 0.500
Re1 Re 0.000 0.000 0.000
Y1 Y 0.000 0.500 0.000
Y2 Y 0.000 0.000 0.500
Y3 Y 0.500 0.000 0.000



Entry 6:
# NaTlC PBE-GGA relaxed
# * energy: -23.82 eV/cell
# * calculated density: 5.39 g cm⁻³
# * ΔH_f (0 K): 0.334 eV/atom
# * Fermi-level density of states: 1.6 states/eV per cell
data_NaTlC
_cell_length_a 3.863
_cell_length_b 9.950
_cell_length_c 4.257
_cell_angle_alpha 89.55
_cell_angle_beta 113.27
_cell_angle_gamma 79.88
_symmetry_space_group_name_H-M 'P 1'
_symmetry_Int_Tables_number 1
loop_
_symmetry_equiv_pos_as_xyz
'x,y,z'
loop_
_atom_site_label
_atom_site_type_symbol
_atom_site_fract_x
_atom_site_fract_y
_atom_site_fract_z
Na1 Na 0.449 0.808 0.437
Na2 Na 0.314 0.566 0.892
Tl1 Tl 0.668 0.060 0.961
Tl2 Tl 0.097 0.304 0.367
C1 C 0.807 0.744 0.062
C2 C 0.954 0.637 0.266